Density functional theory data (PBE with a Hubbard U) for a relaxed FeAgTeF2 crystal.

The calculation puts the magnetic moment at 4.43 μB per cell. As for the electronic total energy: -4.28 eV/atom.

The structure belongs to space group P4/mmm (No. 123); the cell edges are 3.997, 3.997 and 5.915 Å and the angles 90.00°, 90.00° and 90.00°. The inequivalent atoms are Fe at (0.000, 0.000, 0.000), Ag at (0.500, 0.500, 0.500), Te at (0.000, 0.000, 0.500) and F at (0.000, 0.500, 0.000).